Density functional theory data (GGA-PBE) for a geometry-optimized LaEr2Ge2 structure.

Unit cell a=4.688 b=5.671 c=10.879 alpha=107.31 beta=90.00 gamma=90.00
Atoms (fractional coordinates):
Er1 0.250 0.763 0.876
Er2 0.750 0.237 0.124
La1 0.750 0.202 0.779
Ge1 0.750 0.162 0.384
La2 0.250 0.798 0.221
Ge2 0.750 0.708 0.023
Er3 0.250 0.290 0.541
Ge3 0.250 0.838 0.616
Ge4 0.250 0.292 0.977
Er4 0.750 0.710 0.459

## Properties
Fermi-level density of states in states/eV/f.u.: 3.40
ΔH_f (0 K) in kJ per mole of atoms: -58.5
Uncorrected energy in eV per cell: -52.64

***

Density functional theory data (GGA-PBE) for a geometry-optimized Ac2Cu3Ir2 structure.

Unit cell a=4.248 b=5.680 c=7.284 alpha=114.47 beta=90.00 gamma=111.96
Atoms (fractional coordinates):
Ac1 0.131 0.263 0.766
Cu1 0.337 0.675 0.571
Cu2 0.663 0.325 0.429
Ac2 0.869 0.737 0.234
Ir1 0.138 0.277 0.193
Cu3 0.500 0.000 0.000
Ir2 0.862 0.723 0.807

## Properties
Fermi-level density of states in states/eV/f.u.: 5.60
ΔH_f (0 K) in kJ per mole of atoms: -26.2
Uncorrected energy in eV per cell: -40.13

***

Density functional theory data (GGA-PBE) for a geometry-optimized P3Pb4 structure.

Unit cell a=5.414 b=5.414 c=6.838 alpha=90.00 beta=90.00 gamma=120.00
Atoms (fractional coordinates):
P1 0.500 0.000 0.000
Pb1 0.000 0.000 0.242
Pb2 0.333 0.667 0.500
Pb3 0.667 0.333 0.500
P2 0.500 0.500 0.000
P3 0.000 0.500 0.000
Pb4 0.000 0.000 0.758

## Properties
Fermi-level density of states in states/eV/f.u.: 3.97
ΔH_f (0 K) in kJ per mole of atoms: 38.5
Uncorrected energy in eV per cell: -28.27